The following is a PBE with a Hubbard U calculation of a relaxed CoGe2PtO6 crystal, from the Open Quantum Materials Database.

Output
Total energy   -0.4421 Ry per atom
SG   R-3 (148)
Size of the total moment   1.0 μB/cell

Cell lengths 6.040, 6.040, 6.040 Å; angles 49.51, 49.51, 49.51 degrees
Sites, in units of the cell vectors:
Co (0.000, 0.000, 0.000)
Ge (0.318, 0.318, 0.318)
Ge (0.682, 0.682, 0.682)
Pt (0.500, 0.500, 0.500)
O (0.084, 0.700, 0.410)
O (0.300, 0.590, 0.916)
O (0.410, 0.084, 0.700)
O (0.590, 0.916, 0.300)
O (0.700, 0.410, 0.084)
O (0.916, 0.300, 0.590)